First-principles (PBE) data for a geometry-optimized CaPaTl2Te4 structure, as listed in Alexandria.

Summary:
formation energy without anion corrections	-854	meV per atom
calculated total energy	-4.454	eV/atom
space group	P2/m
DOS at the Fermi energy	5.87	states/eV/f.u.

Lattice parameters (Å, degrees): 4.5078 7.8151 8.5860 107.45 90.00 90.00
Closest atoms and distances in Å follow each position.
Element x y z (fractional)
Tl (0.0000, 0.5000, 0.5000)  6 Te 3.53-3.56
Tl (0.5000, 0.0000, 0.5000)  6 Te 3.43-3.46
Ca (0.5000, 0.5000, 0.0000)  6 Te 3.19-3.21
Te (0.0000, 0.2491, 0.7848)  1 Pa 3.06, 2 Ca 3.19
Te (0.0000, 0.7509, 0.2152)  1 Pa 3.06, 2 Ca 3.19
Te (0.5000, 0.7712, 0.7843)  2 Pa 3.12, 1 Ca 3.21, 1 Tl 3.43
Te (0.5000, 0.2288, 0.2157)  2 Pa 3.12, 1 Ca 3.21, 1 Tl 3.43
Pa (0.0000, 0.0000, 0.0000)  6 Te 3.06-3.12